1.
Crystalline BeCuHgBi at its relaxed geometry. Source: the Open Quantum Materials Database, functional GGA-PBE.

a b c (Å): 4.758 4.758 4.758
angles (deg): 60.00 60.00 60.00
Fractional positions:
Be1 0.250 0.250 0.250
Bi1 0.000 0.000 0.000
Cu1 0.750 0.750 0.750
Hg1 0.500 0.500 0.500

Computed properties:
Calculated density (kg/m³): 10512
Calculated total energy (eV for the cell shown): -9.7

=====

2.
Crystalline Hf2PbAu at its relaxed geometry. Source: the Open Quantum Materials Database, functional GGA-PBE.

a b c (Å): 5.017 5.017 5.017
angles (deg): 60.00 60.00 60.00
Site moments in Bohr magnetons follow the coordinates.
Fractional positions:
Au1 0.250 0.250 0.250  0.04
Hf1 0.000 0.000 0.000  0.70
Hf2 0.750 0.750 0.750  0.77
Pb1 0.500 0.500 0.500  -0.01

Computed properties:
Calculated density (kg/m³): 14151
Calculated total energy (eV for the cell shown): -25.6

=====

3.
Crystalline TaInAgTeSe2 at its relaxed geometry. Source: the Open Quantum Materials Database, functional GGA-PBE.

a b c (Å): 7.875 7.875 10.778
angles (deg): 90.00 90.00 152.92
Fractional positions:
Ag1 0.937 0.063 0.250
Ag2 0.063 0.937 0.750
In1 0.261 0.739 0.250
In2 0.739 0.261 0.750
Se1 0.878 0.122 0.026
Se2 0.878 0.122 0.474
Se3 0.122 0.878 0.526
Se4 0.122 0.878 0.974
Ta1 0.500 0.500 0.000
Ta2 0.500 0.500 0.500
Te1 0.578 0.422 0.250
Te2 0.422 0.578 0.750

Computed properties:
Calculated density (kg/m³): 7523
Calculated total energy (eV for the cell shown): -58.1

=====

4.
Crystalline Ta3TlAs5 at its relaxed geometry. Source: the Open Quantum Materials Database, functional GGA-PBE.

a b c (Å): 5.653 5.653 7.780
angles (deg): 90.00 90.00 120.00
Fractional positions:
As1 0.667 0.333 0.229
As2 0.333 0.667 0.229
As3 0.000 0.000 0.500
As4 0.667 0.333 0.771
As5 0.333 0.667 0.771
Ta1 0.500 0.000 0.500
Ta2 0.000 0.500 0.500
Ta3 0.500 0.500 0.500
Tl1 0.000 0.000 0.000

Computed properties:
Calculated density (kg/m³): 8650
Calculated total energy (eV for the cell shown): -62.4

=====

5.
Crystalline NaTmTc at its relaxed geometry. Source: the Open Quantum Materials Database, functional GGA-PBE.

a b c (Å): 4.776 4.776 4.776
angles (deg): 60.00 60.00 60.00
Fractional positions:
Na1 0.250 0.250 0.250
Tc1 0.750 0.750 0.750
Tm1 0.000 0.000 0.000

Computed properties:
Calculated density (kg/m³): 6251
Calculated total energy (eV for the cell shown): -12.2

=====

6.
Crystalline Hf2HgMo2 at its relaxed geometry. Source: the Open Quantum Materials Database, functional GGA-PBE.

a b c (Å): 7.119 7.119 7.119
angles (deg): 148.63 148.63 44.96
Fractional positions:
Hf1 0.400 0.400 0.000
Hf2 0.600 0.600 0.000
Hg1 0.000 0.000 0.000
Mo1 0.750 0.250 0.500
Mo2 0.250 0.750 0.500

Computed properties:
ΔH_f (0 K) (eV per atom): 0.6113
Calculated density (kg/m³): 12765

=====

7.
Crystalline Lu4CuB3 at its relaxed geometry. Source: the Open Quantum Materials Database, functional GGA-PBE.

a b c (Å): 3.510 3.510 27.708
angles (deg): 90.00 90.00 120.00
Fractional positions:
B1 0.000 0.000 0.000
B2 0.667 0.333 0.121
B3 0.667 0.333 0.379
B4 0.000 0.000 0.500
B5 0.333 0.667 0.621
B6 0.333 0.667 0.879
Cu1 0.333 0.667 0.250
Cu2 0.667 0.333 0.750
Lu1 0.333 0.667 0.059
Lu2 0.000 0.000 0.174
Lu3 0.000 0.000 0.326
Lu4 0.333 0.667 0.441
Lu5 0.667 0.333 0.559
Lu6 0.000 0.000 0.674
Lu7 0.000 0.000 0.826
Lu8 0.667 0.333 0.941

Computed properties:
Calculated density (kg/m³): 8942
Calculated total energy (eV for the cell shown): -81.9

=====

8.
Crystalline Nd2GdPt3Pb3 at its relaxed geometry. Source: the Open Quantum Materials Database, functional GGA-PBE.

a b c (Å): 4.100 7.800 7.800
angles (deg): 119.83 90.00 90.00
Fractional positions:
Gd1 0.000 0.406 0.406
Nd1 0.000 0.000 0.592
Nd2 0.000 0.592 0.000
Pb1 0.500 0.259 0.000
Pb2 0.500 0.000 0.259
Pb3 0.500 0.742 0.742
Pt1 0.000 0.004 0.004
Pt2 0.500 0.661 0.335
Pt3 0.500 0.335 0.661

Computed properties:
Calculated density (kg/m³): 12680
Calculated total energy (eV for the cell shown): -51.0

=====

9.
Crystalline CuNiTeAu at its relaxed geometry. Source: the Open Quantum Materials Database, functional GGA-PBE.

a b c (Å): 4.524 4.524 4.524
angles (deg): 60.00 60.00 60.00
Fractional positions:
Au1 0.500 0.500 0.500
Cu1 0.750 0.750 0.750
Ni1 0.250 0.250 0.250
Te1 0.000 0.000 0.000

Computed properties:
Calculated density (kg/m³): 11335
Calculated total energy (eV for the cell shown): -15.0

=====

10.
Crystalline MgHPd3 at its relaxed geometry. Source: the Open Quantum Materials Database, functional GGA-PBE.

a b c (Å): 5.657 5.658 5.659
angles (deg): 119.97 119.91 90.08
Fractional positions:
H1 0.000 0.000 0.000
H2 0.500 0.500 0.000
Mg1 0.750 0.250 0.500
Mg2 0.250 0.750 0.500
Pd1 0.753 0.253 0.000
Pd2 0.247 0.747 0.000
Pd3 0.256 0.250 0.006
Pd4 0.753 0.753 0.500
Pd5 0.247 0.247 0.500
Pd6 0.744 0.750 0.994

Computed properties:
Calculated density (kg/m³): 8925
Calculated total energy (eV for the cell shown): -45.6

=====

11.
Crystalline BaSmHf at its relaxed geometry. Source: the Open Quantum Materials Database, functional GGA-PBE.

a b c (Å): 5.501 5.501 5.501
angles (deg): 60.00 60.00 60.00
Fractional positions:
Ba1 0.250 0.250 0.250
Hf1 0.750 0.750 0.750
Sm1 0.000 0.000 0.000

Computed properties:
Calculated density (kg/m³): 6575
Calculated total energy (eV for the cell shown): -12.9

=====

12.
Crystalline ErPbNO at its relaxed geometry. Source: the Open Quantum Materials Database, functional GGA-PBE.

a b c (Å): 3.695 5.862 7.176
angles (deg): 90.00 90.00 90.00
Fractional positions:
Er1 0.000 0.502 0.360
Er2 0.000 0.002 0.640
N1 0.000 0.885 0.348
N2 0.000 0.385 0.652
O1 0.500 0.377 0.258
O2 0.500 0.877 0.742
Pb1 0.500 0.990 0.164
Pb2 0.500 0.490 0.836

Computed properties:
Calculated density (kg/m³): 8642
Calculated total energy (eV for the cell shown): -54.2